[1]
A plane-wave DFT calculation with GGA-PBEsol was carried out for a relaxed CdRe2P crystal.

It has space group Cmm2 (No. 35), with a = 2.858 Å, b = 4.688 Å, c = 10.139 Å, α = 90.00°, β = 90.00° and γ = 90.00°. The inequivalent atoms are Cd at (0.000, 0.000, 0.000), Re at (0.000, 0.000, 0.525), Re at (0.000, 0.500, 0.741) and P at (0.000, 0.500, 0.329).

The energy of formation comes out at 0.422 eV/atom. The mass density comes out at 12.61 g/cm3.

[2]
A plane-wave DFT calculation with GGA-PBEsol was carried out for a relaxed CdRe3P crystal.

It has space group Pm-3m (No. 221), with a = 4.753 Å, b = 4.753 Å, c = 4.753 Å, α = 90.00°, β = 90.00° and γ = 90.00°. The inequivalent atoms are Cd at (0.000, 0.000, 0.000), Re at (0.000, 0.000, 0.500) and P at (0.500, 0.500, 0.500).

The energy of formation comes out at 3.578 eV/atom. The mass density comes out at 10.86 g/cm3.

[3]
A plane-wave DFT calculation with GGA-PBEsol was carried out for a relaxed CdRe2P crystal.

It has space group P4mm (No. 99), with a = 2.916 Å, b = 2.916 Å, c = 7.346 Å, α = 90.00°, β = 90.00° and γ = 90.00°. The inequivalent atoms are Cd at (0.000, 0.000, 0.000), Re at (0.000, 0.000, 0.485), Re at (0.500, 0.500, 0.718) and P at (0.500, 0.500, 0.300).

The energy of formation comes out at 0.149 eV/atom. The mass density comes out at 13.71 g/cm3.

[4]
A plane-wave DFT calculation with GGA-PBEsol was carried out for a relaxed CdRe2P crystal.

It has space group I-4m2 (No. 119), with a = 3.945 Å, b = 3.945 Å, c = 7.708 Å, α = 90.00°, β = 90.00° and γ = 90.00°. The inequivalent atoms are Cd at (0.000, 0.000, 0.000), Re at (0.000, 0.000, 0.500), Re at (0.000, 0.500, 0.750) and P at (0.000, 0.500, 0.250).

The energy of formation comes out at 0.718 eV/atom. The mass density comes out at 14.28 g/cm3.

[5]
A plane-wave DFT calculation with GGA-PBEsol was carried out for a relaxed CdRe2P crystal.

It has space group F-43m (No. 216), with a = 6.268 Å, b = 6.268 Å, c = 6.268 Å, α = 90.00°, β = 90.00° and γ = 90.00°. The inequivalent atoms are Cd at (0.000, 0.000, 0.000), Re at (0.000, 0.000, 0.500), Re at (0.250, 0.250, 0.250) and P at (0.250, 0.250, 0.750).

The energy of formation comes out at 0.717 eV/atom. The mass density comes out at 13.91 g/cm3.

[6]
A plane-wave DFT calculation with GGA-PBEsol was carried out for a relaxed CdRe2P crystal.

It has space group R3m (No. 160, hexagonal axes), with a = 2.8654 Å, b = 2.8654 Å, c = 26.4246 Å, α = 90.00°, β = 90.00° and γ = 120.00°. The inequivalent atoms are Cd at (0.0000, 0.0000, 0.0000), Re at (0.0000, 0.0000, 0.2418), Re at (0.0000, 0.0000, 0.4957) and P at (0.0000, 0.0000, 0.7621).

The energy of formation comes out at 0.137 eV/atom. The mass density comes out at 13.68 g/cm3.